{
  "formula": "NbTcOs",
  "functional": "PBE",
  "state": "relaxed",
  "de_polymorph_ev_per_fu": 0.000,
  "energy_ev_per_atom": -10.471,
  "ef_ev_per_atom": 0.084,
  "lattice": [[3.183, 0.000, 0.000], [0.000, 3.183, 0.000], [-1.591, -1.591, 4.696]],
  "species": ["Tc", "Nb", "Os"],
  "fractional_positions": [[0.291, 0.291, 0.582], [0.948, 0.948, 0.897], [0.611, 0.611, 0.221]]
}